(1)
Pa2Tc: optimized geometry, GGA-PBE.

## Properties
Space group: I4/mmm
Calculated formation energy: -0.172 eV/atom
DOS(E_F): 9.80 states/eV/cell
Relative energy among the computed polymorphs: 10 meV per atom

a b c (Å): 3.5691 3.5691 9.8457
angles (deg): 90.00 90.00 90.00
Fractional coordinates of all 6 atoms:
Pa  0.0000  0.0000  0.1635
Pa  0.0000  0.0000  0.8365
Pa  0.5000  0.5000  0.3365
Pa  0.5000  0.5000  0.6635
Tc  0.0000  0.0000  0.5000
Tc  0.5000  0.5000  0.0000

***

(2)
PaTc2: optimized geometry, GGA-PBE.

## Properties
Space group: Fd-3m
Calculated formation energy: -0.160 eV/atom
DOS(E_F): 9.93 states/eV/cell
Relative energy among the computed polymorphs: 39 meV per atom

a b c (Å): 5.3802 5.3802 5.3802
angles (deg): 60.00 60.00 60.00
Fractional coordinates of all 6 atoms:
Pa  0.1250  0.1250  0.1250
Pa  0.8750  0.8750  0.8750
Tc  0.0000  0.5000  0.5000
Tc  0.5000  0.0000  0.5000
Tc  0.5000  0.5000  0.0000
Tc  0.5000  0.5000  0.5000

***

(3)
PaTc3: optimized geometry, GGA-PBE.

## Properties
Space group: I4/mmm
Calculated formation energy: 0.466 eV/atom
DOS(E_F): 9.54 states/eV/cell
Relative energy among the computed polymorphs: 561 meV per atom

a b c (Å): 3.7316 3.7316 10.9739
angles (deg): 90.00 90.00 90.00
Fractional coordinates of all 8 atoms:
Pa  0.0000  0.0000  0.0000
Pa  0.5000  0.5000  0.5000
Tc  0.0000  0.0000  0.2744
Tc  0.0000  0.0000  0.5000
Tc  0.0000  0.0000  0.7256
Tc  0.5000  0.5000  0.0000
Tc  0.5000  0.5000  0.2256
Tc  0.5000  0.5000  0.7744

***

(4)
PaTc3: optimized geometry, GGA-PBE.

## Properties
Space group: Fm-3m
Calculated formation energy: 0.118 eV/atom
DOS(E_F): 41.09 states/eV/cell
Relative energy among the computed polymorphs: 213 meV per atom

a b c (Å): 6.5085 6.5085 6.5085
angles (deg): 90.00 90.00 90.00
Fractional coordinates of all 16 atoms:
Pa  0.0000  0.0000  0.0000
Pa  0.0000  0.5000  0.5000
Pa  0.5000  0.0000  0.5000
Pa  0.5000  0.5000  0.0000
Tc  0.0000  0.0000  0.5000
Tc  0.0000  0.5000  0.0000
Tc  0.2500  0.2500  0.2500
Tc  0.2500  0.2500  0.7500
Tc  0.2500  0.7500  0.2500
Tc  0.2500  0.7500  0.7500
Tc  0.5000  0.0000  0.0000
Tc  0.5000  0.5000  0.5000
Tc  0.7500  0.2500  0.2500
Tc  0.7500  0.2500  0.7500
Tc  0.7500  0.7500  0.2500
Tc  0.7500  0.7500  0.7500

***

(5)
Pa4Tc: optimized geometry, GGA-PBE.

## Properties
Space group: Pm-3m
Calculated formation energy: 0.514 eV/atom
DOS(E_F): 11.80 states/eV/cell
Relative energy among the computed polymorphs: 503 meV per atom

a b c (Å): 5.1955 5.1955 5.1955
angles (deg): 90.00 90.00 90.00
Fractional coordinates of all 5 atoms:
Pa  0.0000  0.0000  0.0000
Pa  0.0000  0.5000  0.5000
Pa  0.5000  0.0000  0.5000
Pa  0.5000  0.5000  0.0000
Tc  0.5000  0.5000  0.5000

***

(6)
PaTc: optimized geometry, GGA-PBE.

## Properties
Space group: P2_1/m
Calculated formation energy: -0.277 eV/atom
DOS(E_F): 2.57 states/eV/cell
Relative energy among the computed polymorphs: 0 meV per atom

a b c (Å): 3.4805 4.8760 5.1897
angles (deg): 90.00 109.56 90.00
Fractional coordinates of all 4 atoms:
Pa  0.1468  0.2500  0.2968
Pa  0.8532  0.7500  0.7032
Tc  0.4020  0.2500  0.8011
Tc  0.5980  0.7500  0.1989